Entry 1:
Here is a relaxed structure of Zn3P2 from Alexandria. Energies are from GGA-PBEsol.

Output
**Symmetry**: No. 137
**Energy above the lowest structure with this stoichiometry**: 0 meV/atom

Geometry as CIF:
```
data_Zn3P2
_symmetry_space_group_name_H-M 'P 1'
_symmetry_Int_Tables_number 1
_symmetry_space_group_name_Hall 'P 1'
_cell_length_a 7.974
_cell_length_b 7.974
_cell_length_c 11.233
_cell_angle_alpha 90.00
_cell_angle_beta 90.00
_cell_angle_gamma 90.00
loop_
_atom_site_label
_atom_site_fract_x
_atom_site_fract_y
_atom_site_fract_z
P1 0.252 0.252 0.000
P2 0.500 0.500 0.252
P3 0.752 0.752 0.500
P4 0.248 0.248 0.500
P5 0.752 0.248 0.500
P6 0.500 0.000 0.746
P7 0.000 0.000 0.248
P8 0.000 0.500 0.754
P9 0.000 0.000 0.752
P10 0.000 0.500 0.254
P11 0.748 0.252 0.000
P12 0.500 0.000 0.246
P13 0.252 0.748 0.000
P14 0.248 0.752 0.500
P15 0.500 0.500 0.748
P16 0.748 0.748 0.000
Zn1 0.278 0.500 0.390
Zn2 0.222 0.500 0.116
Zn3 0.500 0.722 0.610
Zn4 0.000 0.278 0.616
Zn5 0.000 0.753 0.356
Zn6 0.000 0.722 0.616
Zn7 0.278 0.000 0.384
Zn8 0.000 0.247 0.356
Zn9 0.000 0.222 0.890
Zn10 0.500 0.278 0.610
Zn11 0.253 0.500 0.856
Zn12 0.753 0.000 0.644
Zn13 0.500 0.222 0.884
Zn14 0.247 0.000 0.644
Zn15 0.722 0.500 0.390
Zn16 0.778 0.500 0.116
Zn17 0.747 0.500 0.856
Zn18 0.778 0.000 0.110
Zn19 0.500 0.253 0.144
Zn20 0.500 0.778 0.884
Zn21 0.222 0.000 0.110
Zn22 0.000 0.778 0.890
Zn23 0.500 0.747 0.144
Zn24 0.722 0.000 0.384
```

Entry 2:
Here is a relaxed structure of Zn3P2 from Alexandria. Energies are from GGA-PBEsol.

Output
**Symmetry**: No. 206
**Energy above the lowest structure with this stoichiometry**: 24 meV/atom

Geometry as CIF:
```
data_Zn3P2
_symmetry_space_group_name_H-M 'P 1'
_symmetry_Int_Tables_number 1
_symmetry_space_group_name_Hall 'P 1'
_cell_length_a 9.758
_cell_length_b 9.758
_cell_length_c 9.758
_cell_angle_alpha 109.47
_cell_angle_beta 109.47
_cell_angle_gamma 109.47
loop_
_atom_site_label
_atom_site_fract_x
_atom_site_fract_y
_atom_site_fract_z
Zn1 0.522 0.990 0.752
Zn2 0.238 0.490 0.969
Zn3 0.010 0.748 0.978
Zn4 0.762 0.510 0.031
Zn5 0.490 0.469 0.738
Zn6 0.748 0.478 0.510
Zn7 0.262 0.231 0.252
Zn8 0.990 0.252 0.022
Zn9 0.252 0.522 0.490
Zn10 0.531 0.762 0.010
Zn11 0.022 0.269 0.531
Zn12 0.510 0.531 0.262
Zn13 0.248 0.738 0.269
Zn14 0.978 0.731 0.469
Zn15 0.478 0.010 0.248
Zn16 0.031 0.022 0.769
Zn17 0.269 0.031 0.522
Zn18 0.469 0.238 0.990
Zn19 0.969 0.978 0.231
Zn20 0.769 0.248 0.238
Zn21 0.738 0.769 0.748
Zn22 0.731 0.969 0.478
Zn23 0.231 0.752 0.762
Zn24 0.752 0.262 0.731
P1 0.241 0.250 0.491
P2 0.741 0.250 0.991
P3 0.509 0.259 0.250
P4 0.009 0.759 0.250
P5 0.000 0.000 0.000
P6 0.000 0.500 0.500
P7 0.991 0.241 0.750
P8 0.250 0.991 0.741
P9 0.250 0.491 0.241
P10 0.750 0.009 0.259
P11 0.500 0.000 0.500
P12 0.500 0.500 0.000
P13 0.491 0.741 0.750
P14 0.759 0.750 0.509
P15 0.259 0.750 0.009
P16 0.750 0.509 0.759
```

Entry 3:
Here is a relaxed structure of ZnP3 from Alexandria. Energies are from GGA-PBEsol.

Output
**Symmetry**: No. 59
**Energy above the lowest structure with this stoichiometry**: 0 meV/atom

Geometry as CIF:
```
data_ZnP3
_symmetry_space_group_name_H-M 'P 1'
_symmetry_Int_Tables_number 1
_symmetry_space_group_name_Hall 'P 1'
_cell_length_a 4.194
_cell_length_b 4.798
_cell_length_c 7.204
_cell_angle_alpha 90.00
_cell_angle_beta 90.00
_cell_angle_gamma 90.00
loop_
_atom_site_label
_atom_site_fract_x
_atom_site_fract_y
_atom_site_fract_z
P1 0.500 0.653 0.000
P2 0.500 0.905 0.254
P3 0.000 0.347 0.500
P4 0.000 0.095 0.754
P5 0.000 0.095 0.246
P6 0.500 0.905 0.746
Zn1 0.500 0.578 0.500
Zn2 0.000 0.422 0.000
```

Short version: formation energy = -3.6; -3.0; -2.5 kcal/mol of atoms, in the order given.
Short version: DOS(E_F) = 0.403; 0.389; 1.315 states/eV/cell, in the order given.
Short version: density = 4.801; 4.795; 3.627 Mg/m³, in the order given.